Entry 1:
Entry from Alexandria via LeMat-Bulk: an optimized crystal structure of Tm6Sn3Sb (GGA-PBE).

Energy relative to the elements, uncorrected ... -523 meV per atom

Cell and atoms, written as POSCAR:
```
Tm6Sn3Sb
1.0
-5.365 -4.999 -0.194
4.872 -5.059 -4.327
3.283 -3.940 8.304
Tm Sn Sb
12 6 2
direct
0.654 0.172 0.939
0.652 0.173 0.561
0.718 0.417 0.250
0.282 0.583 0.750
0.348 0.827 0.439
0.346 0.828 0.061
0.154 0.328 0.439
0.152 0.327 0.061
0.218 0.083 0.750
0.782 0.917 0.250
0.848 0.673 0.939
0.846 0.672 0.561
0.557 0.876 0.753
0.500 0.500 0.000
0.443 0.124 0.247
0.057 0.624 0.253
0.000 0.000 0.500
0.943 0.376 0.747
0.500 0.500 0.500
0.000 0.000 0.000
```

Entry 2:
Entry from Alexandria via LeMat-Bulk: an optimized crystal structure of GePRhO2 (GGA-PBE).

Energy relative to the elements, uncorrected ... -24 meV per atom
Offset from the most stable computed form ... 0.96 eV per formula unit

Cell and atoms, written as POSCAR:
```
GePRhO2
1.0
3.845 0.000 0.000
0.000 3.845 0.000
0.000 0.000 5.002
P Ge Rh O
1 1 1 2
direct
0.000 0.000 0.500
0.500 0.500 0.500
0.000 0.000 0.000
0.000 0.500 0.000
0.500 0.000 0.000
```

Entry 3:
Entry from Alexandria via LeMat-Bulk: an optimized crystal structure of Fe4NiPd2Pt2 (GGA-PBE).

VASP energy ... -63.04 eV/f.u.

Cell and atoms, written as POSCAR:
```
Fe4NiPd2Pt2
1.0
3.688 0.000 0.000
0.000 6.109 0.334
-1.844 -2.105 5.349
Fe Ni Pd Pt
4 1 2 2
direct
0.222 0.334 0.443
0.778 0.666 0.557
0.445 0.674 0.890
0.555 0.326 0.110
0.000 0.000 0.000
0.662 0.010 0.323
0.338 0.990 0.677
0.111 0.657 0.221
0.889 0.343 0.779
```

Entry 4:
Entry from Alexandria via LeMat-Bulk: an optimized crystal structure of Ba7Ga5AgSe15 (GGA-PBE).

Energy relative to the elements, uncorrected ... -1343 meV per atom

Cell and atoms, written as POSCAR:
```
Ba7Ga5AgSe15
1.0
10.262 0.000 0.000
-5.131 8.887 0.000
0.000 0.000 18.957
Ba Ga Ag Se
14 10 2 30
direct
0.000 0.000 0.182
0.000 0.000 0.682
0.352 0.088 0.484
0.912 0.264 0.484
0.736 0.648 0.484
0.088 0.352 0.984
0.264 0.912 0.984
0.648 0.736 0.984
0.455 0.427 0.291
0.573 0.028 0.291
0.972 0.545 0.291
0.427 0.455 0.791
0.028 0.573 0.791
0.545 0.972 0.791
0.333 0.667 0.425
0.667 0.333 0.925
0.465 0.357 0.093
0.643 0.108 0.093
0.892 0.535 0.093
0.357 0.465 0.593
0.108 0.643 0.593
0.535 0.892 0.593
0.000 0.000 0.371
0.000 0.000 0.871
0.333 0.667 0.143
0.667 0.333 0.643
0.119 0.741 0.139
0.259 0.378 0.139
0.622 0.881 0.139
0.741 0.119 0.639
0.378 0.259 0.639
0.881 0.622 0.639
0.428 0.120 0.138
0.880 0.308 0.138
0.692 0.572 0.138
0.120 0.428 0.638
0.308 0.880 0.638
0.572 0.692 0.638
0.101 0.656 0.464
0.344 0.445 0.464
0.555 0.899 0.464
0.656 0.101 0.964
0.445 0.344 0.964
0.899 0.555 0.964
0.333 0.667 0.300
0.667 0.333 0.800
0.000 0.000 0.500
0.000 0.000 0.000
0.242 0.057 0.319
0.943 0.185 0.319
0.815 0.758 0.319
0.057 0.242 0.819
0.185 0.943 0.819
0.758 0.815 0.819
0.667 0.333 0.394
0.333 0.667 0.894
```

Entry 5:
Entry from Alexandria via LeMat-Bulk: an optimized crystal structure of TePW (GGA-PBE).

Energy relative to the elements, uncorrected ... 472 meV per atom
Offset from the most stable computed form ... 1.17 eV per formula unit

Cell and atoms, written as POSCAR:
```
TePW
1.0
0.000 2.579 7.272
1.685 0.000 7.272
1.685 2.579 0.000
Te P W
1 1 1
direct
0.688 0.688 0.312
0.963 0.963 0.037
0.348 0.348 0.652
```

Entry 6:
Entry from Alexandria via LeMat-Bulk: an optimized crystal structure of AcCS3 (GGA-PBE).

Energy relative to the elements, uncorrected ... -726 meV per atom

Cell and atoms, written as POSCAR:
```
AcCS3
1.0
-2.063 -0.680 5.804
5.791 -5.092 1.461
5.455 6.996 2.758
Ac C S
4 4 12
direct
0.062 0.109 0.717
0.438 0.609 0.717
0.562 0.391 0.217
0.938 0.891 0.217
0.415 0.855 0.046
0.585 0.145 0.546
0.085 0.355 0.046
0.915 0.645 0.546
0.814 0.174 0.438
0.866 0.218 0.011
0.186 0.826 0.938
0.134 0.782 0.511
0.366 0.282 0.511
0.574 0.014 0.698
0.634 0.718 0.011
0.926 0.514 0.698
0.686 0.674 0.438
0.314 0.326 0.938
0.074 0.486 0.198
0.426 0.986 0.198
```

Repeat the fourth record exactly.
Entry from Alexandria via LeMat-Bulk: an optimized crystal structure of Ba7Ga5AgSe15 (GGA-PBE).

Energy relative to the elements, uncorrected ... -1343 meV per atom

Cell and atoms, written as POSCAR:
```
Ba7Ga5AgSe15
1.0
10.262 0.000 0.000
-5.131 8.887 0.000
0.000 0.000 18.957
Ba Ga Ag Se
14 10 2 30
direct
0.000 0.000 0.182
0.000 0.000 0.682
0.352 0.088 0.484
0.912 0.264 0.484
0.736 0.648 0.484
0.088 0.352 0.984
0.264 0.912 0.984
0.648 0.736 0.984
0.455 0.427 0.291
0.573 0.028 0.291
0.972 0.545 0.291
0.427 0.455 0.791
0.028 0.573 0.791
0.545 0.972 0.791
0.333 0.667 0.425
0.667 0.333 0.925
0.465 0.357 0.093
0.643 0.108 0.093
0.892 0.535 0.093
0.357 0.465 0.593
0.108 0.643 0.593
0.535 0.892 0.593
0.000 0.000 0.371
0.000 0.000 0.871
0.333 0.667 0.143
0.667 0.333 0.643
0.119 0.741 0.139
0.259 0.378 0.139
0.622 0.881 0.139
0.741 0.119 0.639
0.378 0.259 0.639
0.881 0.622 0.639
0.428 0.120 0.138
0.880 0.308 0.138
0.692 0.572 0.138
0.120 0.428 0.638
0.308 0.880 0.638
0.572 0.692 0.638
0.101 0.656 0.464
0.344 0.445 0.464
0.555 0.899 0.464
0.656 0.101 0.964
0.445 0.344 0.964
0.899 0.555 0.964
0.333 0.667 0.300
0.667 0.333 0.800
0.000 0.000 0.500
0.000 0.000 0.000
0.242 0.057 0.319
0.943 0.185 0.319
0.815 0.758 0.319
0.057 0.242 0.819
0.185 0.943 0.819
0.758 0.815 0.819
0.667 0.333 0.394
0.333 0.667 0.894
```